CePm2HoPt2 after structural relaxation. Source: Alexandria via LeMat-Bulk, functional PBE.

a = 8.612 Å, b = 8.612 Å, c = 8.612 Å
α = 133.63°, β = 67.44°, γ = 133.93°
Fractional coordinates of all 12 atoms:
1 Ce 0.250 0.250 0.000
2 Ce 0.750 0.750 0.000
3 Pm 0.190 0.239 0.429
4 Pm 0.310 0.739 0.050
5 Pm 0.690 0.261 0.950
6 Pm 0.810 0.761 0.571
7 Ho 0.250 0.750 0.500
8 Ho 0.750 0.250 0.500
9 Pt 0.114 0.752 0.866
10 Pt 0.386 0.252 0.637
11 Pt 0.614 0.748 0.363
12 Pt 0.886 0.248 0.134

Output
Space group: Ibam (72)
Final energy: -73.30 eV/cell
Energy of formation from the pure elements: -0.759 eV/atom
Total magnetization: 0.5 μB per formula unit

CePmHoPu after structural relaxation. Source: Alexandria via LeMat-Bulk, functional PBE.

a = 7.880 Å, b = 7.880 Å, c = 7.880 Å
α = 90.00°, β = 90.00°, γ = 90.00°
Fractional coordinates of all 16 atoms:
1 Ce 0.000 0.000 0.000
2 Ce 0.000 0.500 0.500
3 Ce 0.500 0.000 0.500
4 Ce 0.500 0.500 0.000
5 Pm 0.250 0.250 0.250
6 Pm 0.250 0.750 0.750
7 Pm 0.750 0.250 0.750
8 Pm 0.750 0.750 0.250
9 Ho 0.000 0.000 0.500
10 Ho 0.000 0.500 0.000
11 Ho 0.500 0.000 0.000
12 Ho 0.500 0.500 0.500
13 Pu 0.250 0.250 0.750
14 Pu 0.250 0.750 0.250
15 Pu 0.750 0.250 0.250
16 Pu 0.750 0.750 0.750

Output
Space group: F-43m (216)
Final energy: -114.99 eV/cell
Energy of formation from the pure elements: 0.212 eV/atom
Total magnetization: 8.5 μB per formula unit

CePm2HoRh2 after structural relaxation. Source: Alexandria via LeMat-Bulk, functional PBE.

a = 8.418 Å, b = 8.418 Å, c = 8.418 Å
α = 132.49°, β = 69.16°, γ = 132.87°
Fractional coordinates of all 12 atoms:
1 Ce 0.250 0.250 0.000
2 Ce 0.750 0.750 0.000
3 Pm 0.192 0.228 0.419
4 Pm 0.308 0.728 0.036
5 Pm 0.692 0.272 0.964
6 Pm 0.808 0.772 0.581
7 Ho 0.250 0.750 0.500
8 Ho 0.750 0.250 0.500
9 Rh 0.110 0.765 0.875
10 Rh 0.390 0.265 0.656
11 Rh 0.610 0.735 0.344
12 Rh 0.890 0.235 0.125

Output
Space group: Ibam (72)
Final energy: -75.39 eV/cell
Energy of formation from the pure elements: -0.497 eV/atom
Total magnetization: 0.1 μB per formula unit

CePm2HoS4 after structural relaxation. Source: Alexandria via LeMat-Bulk, functional PBE.

a = 6.913 Å, b = 3.978 Å, c = 6.942 Å
α = 90.00°, β = 109.28°, γ = 90.00°
Fractional coordinates of all 8 atoms:
1 Ce 0.000 0.000 0.000
2 Pm 0.500 0.000 0.500
3 Pm 0.500 0.500 0.000
4 Ho 0.000 0.500 0.500
5 S 0.240 0.000 0.741
6 S 0.245 0.500 0.254
7 S 0.755 0.500 0.746
8 S 0.760 0.000 0.259

Output
Formation energy from raw total energies: -195.4 kJ per mole of atoms
Space group: P2/m (10)
Final energy: -52.72 eV/cell
Total magnetization: 0.7 μB per formula unit

CePm3Ho3S8 after structural relaxation. Source: Alexandria via LeMat-Bulk, functional PBE.

a = 7.933 Å, b = 7.933 Å, c = 7.933 Å
α = 59.80°, β = 59.80°, γ = 59.80°
Fractional coordinates of all 15 atoms:
1 Ce 0.000 0.000 0.000
2 Pm 0.000 0.000 0.500
3 Pm 0.000 0.500 0.000
4 Pm 0.500 0.000 0.000
5 Ho 0.000 0.500 0.500
6 Ho 0.500 0.000 0.500
7 Ho 0.500 0.500 0.000
8 S 0.254 0.254 0.254
9 S 0.254 0.254 0.737
10 S 0.254 0.737 0.254
11 S 0.263 0.746 0.746
12 S 0.737 0.254 0.254
13 S 0.746 0.263 0.746
14 S 0.746 0.746 0.263
15 S 0.746 0.746 0.746

Output
Formation energy from raw total energies: -195.1 kJ per mole of atoms
Space group: R-3m (166)
Final energy: -97.27 eV/cell
Total magnetization: 1.5 μB per formula unit

Ce2PmHoS4 after structural relaxation. Source: Alexandria via LeMat-Bulk, functional PBE.

a = 6.911 Å, b = 3.978 Å, c = 6.945 Å
α = 90.00°, β = 109.27°, γ = 90.00°
Fractional coordinates of all 8 atoms:
1 Ce 0.000 0.000 0.000
2 Ce 0.500 0.500 0.000
3 Pm 0.000 0.500 0.500
4 Ho 0.500 0.000 0.500
5 S 0.255 0.000 0.745
6 S 0.260 0.500 0.260
7 S 0.740 0.500 0.740
8 S 0.745 0.000 0.255

Output
Formation energy from raw total energies: -195.7 kJ per mole of atoms
Space group: P2/m (10)
Final energy: -53.94 eV/cell
Total magnetization: 1.6 μB per formula unit

CePm3Ho2S6 after structural relaxation. Source: Alexandria via LeMat-Bulk, functional PBE.

a = 6.892 Å, b = 6.892 Å, c = 6.913 Å
α = 99.61°, β = 99.61°, γ = 120.12°
Fractional coordinates of all 12 atoms:
1 Ce 0.000 0.000 0.000
2 Pm 0.166 0.834 0.500
3 Pm 0.500 0.500 0.500
4 Pm 0.834 0.166 0.500
5 Ho 0.333 0.667 0.000
6 Ho 0.667 0.333 0.000
7 S 0.080 0.420 0.241
8 S 0.260 0.260 0.761
9 S 0.420 0.080 0.241
10 S 0.580 0.920 0.759
11 S 0.740 0.740 0.239
12 S 0.920 0.580 0.759

Output
Formation energy from raw total energies: -195.0 kJ per mole of atoms
Space group: C2/m (12)
Final energy: -78.36 eV/cell
Total magnetization: 0.6 μB per formula unit

Ce3Pm4HoS8 after structural relaxation. Source: Alexandria via LeMat-Bulk, functional PBE.

a = 8.017 Å, b = 8.017 Å, c = 8.017 Å
α = 60.10°, β = 60.10°, γ = 60.10°
Fractional coordinates of all 16 atoms:
1 Ce 0.000 0.500 0.500
2 Ce 0.500 0.000 0.500
3 Ce 0.500 0.500 0.000
4 Pm 0.000 0.000 0.500
5 Pm 0.000 0.500 0.000
6 Pm 0.500 0.000 0.000
7 Pm 0.500 0.500 0.500
8 Ho 0.000 0.000 0.000
9 S 0.245 0.245 0.754
10 S 0.245 0.754 0.245
11 S 0.246 0.755 0.755
12 S 0.250 0.250 0.250
13 S 0.750 0.750 0.750
14 S 0.754 0.245 0.245
15 S 0.755 0.246 0.755
16 S 0.755 0.755 0.246

Output
Formation energy from raw total energies: -196.3 kJ per mole of atoms
Space group: R-3m (166)
Final energy: -106.95 eV/cell
Total magnetization: 2.0 μB per formula unit

Ce2Pm3HoS6 after structural relaxation. Source: Alexandria via LeMat-Bulk, functional PBE.

a = 6.941 Å, b = 6.941 Å, c = 6.941 Å
α = 99.63°, β = 99.63°, γ = 120.07°
Fractional coordinates of all 12 atoms:
1 Ce 0.166 0.834 0.000
2 Ce 0.834 0.166 0.000
3 Pm 0.000 0.000 0.500
4 Pm 0.332 0.668 0.500
5 Pm 0.668 0.332 0.500
6 Ho 0.500 0.500 0.000
7 S 0.092 0.419 0.756
8 S 0.255 0.255 0.246
9 S 0.419 0.092 0.756
10 S 0.581 0.908 0.244
11 S 0.745 0.745 0.754
12 S 0.908 0.581 0.244

Output
Formation energy from raw total energies: -196.1 kJ per mole of atoms
Space group: C2/m (12)
Final energy: -79.85 eV/cell
Total magnetization: 1.5 μB per formula unit

Ce3Pm2HoS6 after structural relaxation. Source: Alexandria via LeMat-Bulk, functional PBE.

a = 6.932 Å, b = 6.932 Å, c = 6.958 Å
α = 99.57°, β = 99.57°, γ = 120.03°
Fractional coordinates of all 12 atoms:
1 Ce 0.000 0.000 0.000
2 Ce 0.331 0.669 0.000
3 Ce 0.669 0.331 0.000
4 Pm 0.166 0.834 0.500
5 Pm 0.834 0.166 0.500
6 Ho 0.500 0.500 0.500
7 S 0.093 0.419 0.256
8 S 0.257 0.257 0.747
9 S 0.419 0.093 0.256
10 S 0.581 0.907 0.744
11 S 0.743 0.743 0.253
12 S 0.907 0.581 0.744

Output
Formation energy from raw total energies: -196.3 kJ per mole of atoms
Space group: C2/m (12)
Final energy: -81.06 eV/cell
Total magnetization: 2.5 μB per formula unit

Ce4Pm3HoS8 after structural relaxation. Source: Alexandria via LeMat-Bulk, functional PBE.

a = 8.031 Å, b = 8.031 Å, c = 8.031 Å
α = 59.88°, β = 59.88°, γ = 59.88°
Fractional coordinates of all 16 atoms:
1 Ce 0.000 0.000 0.000
2 Ce 0.000 0.500 0.500
3 Ce 0.500 0.000 0.500
4 Ce 0.500 0.500 0.000
5 Pm 0.000 0.000 0.500
6 Pm 0.000 0.500 0.000
7 Pm 0.500 0.000 0.000
8 Ho 0.500 0.500 0.500
9 S 0.250 0.250 0.250
10 S 0.255 0.255 0.745
11 S 0.255 0.745 0.255
12 S 0.255 0.745 0.745
13 S 0.745 0.255 0.255
14 S 0.745 0.255 0.745
15 S 0.745 0.745 0.255
16 S 0.750 0.750 0.750

Output
Formation energy from raw total energies: -196.4 kJ per mole of atoms
Space group: R-3m (166)
Final energy: -108.16 eV/cell
Total magnetization: 2.9 μB per formula unit

Ce2PmHoS5 after structural relaxation. Source: Alexandria via LeMat-Bulk, functional PBE.

a = 4.884 Å, b = 4.884 Å, c = 10.477 Å
α = 90.00°, β = 90.00°, γ = 90.00°
Fractional coordinates of all 9 atoms:
1 Ce 0.000 0.000 0.195
2 Ce 0.000 0.000 0.805
3 Pm 0.500 0.500 0.500
4 Ho 0.500 0.500 0.000
5 S 0.000 0.000 0.500
6 S 0.000 0.500 0.000
7 S 0.500 0.000 0.000
8 S 0.500 0.500 0.251
9 S 0.500 0.500 0.749

Output
Formation energy from raw total energies: -145.0 kJ per mole of atoms
Space group: P4/mmm (123)
Final energy: -55.36 eV/cell
Total magnetization: 3.3 μB per formula unit

CePmHo2Sb4 after structural relaxation. Source: Alexandria via LeMat-Bulk, functional PBE.

a = 7.665 Å, b = 4.432 Å, c = 7.681 Å
α = 90.00°, β = 109.42°, γ = 90.00°
Fractional coordinates of all 8 atoms:
1 Ce 0.000 0.000 0.000
2 Pm 0.000 0.500 0.500
3 Ho 0.500 0.000 0.500
4 Ho 0.500 0.500 0.000
5 Sb 0.257 0.000 0.754
6 Sb 0.258 0.500 0.252
7 Sb 0.742 0.500 0.748
8 Sb 0.743 0.000 0.246

Output
Formation energy from raw total energies: -107.6 kJ per mole of atoms
Space group: P2/m (10)
Final energy: -45.25 eV/cell
Total magnetization: 0.7 μB per formula unit

Ce2PmHoSb4 after structural relaxation. Source: Alexandria via LeMat-Bulk, functional PBE.

a = 7.732 Å, b = 4.462 Å, c = 7.737 Å
α = 90.00°, β = 109.45°, γ = 90.00°
Fractional coordinates of all 8 atoms:
1 Ce 0.000 0.000 0.000
2 Ce 0.500 0.500 0.000
3 Pm 0.000 0.500 0.500
4 Ho 0.500 0.000 0.500
5 Sb 0.253 0.000 0.748
6 Sb 0.255 0.500 0.255
7 Sb 0.745 0.500 0.745
8 Sb 0.747 0.000 0.252

Output
Formation energy from raw total energies: -105.8 kJ per mole of atoms
Space group: P2/m (10)
Final energy: -46.46 eV/cell
Total magnetization: 1.5 μB per formula unit

Ce2PmHoSb5 after structural relaxation. Source: Alexandria via LeMat-Bulk, functional PBE.

a = 5.286 Å, b = 5.286 Å, c = 11.693 Å
α = 90.00°, β = 90.00°, γ = 90.00°
Fractional coordinates of all 9 atoms:
1 Ce 0.000 0.000 0.214
2 Ce 0.000 0.000 0.786
3 Pm 0.500 0.500 0.500
4 Ho 0.500 0.500 0.000
5 Sb 0.000 0.000 0.500
6 Sb 0.000 0.500 0.000
7 Sb 0.500 0.000 0.000
8 Sb 0.500 0.500 0.249
9 Sb 0.500 0.500 0.751

Output
Formation energy from raw total energies: -30.3 kJ per mole of atoms
Space group: P4/mmm (123)
Final energy: -44.64 eV/cell
Total magnetization: 1.7 μB per formula unit

Ce2Pm3HoSb6 after structural relaxation. Source: Alexandria via LeMat-Bulk, functional PBE.

a = 9.999 Å, b = 9.999 Å, c = 8.958 Å
α = 103.06°, β = 103.06°, γ = 25.84°
Fractional coordinates of all 12 atoms:
1 Ce 0.166 0.166 0.332
2 Ce 0.834 0.834 0.668
3 Pm 0.167 0.167 0.834
4 Pm 0.500 0.500 0.500
5 Pm 0.833 0.833 0.166
6 Ho 0.500 0.500 0.000
7 Sb 0.000 0.000 0.244
8 Sb 0.000 0.000 0.756
9 Sb 0.333 0.333 0.417
10 Sb 0.336 0.336 0.917
11 Sb 0.664 0.664 0.083
12 Sb 0.667 0.667 0.583

Output
Formation energy from raw total energies: -108.8 kJ per mole of atoms
Space group: C2/m (12)
Final energy: -68.96 eV/cell
Total magnetization: 1.5 μB per formula unit

CePm2HoSb4 after structural relaxation. Source: Alexandria via LeMat-Bulk, functional PBE.

a = 7.722 Å, b = 4.460 Å, c = 7.732 Å
α = 90.00°, β = 109.37°, γ = 90.00°
Fractional coordinates of all 8 atoms:
1 Ce 0.000 0.000 0.000
2 Pm 0.000 0.500 0.500
3 Pm 0.500 0.000 0.500
4 Ho 0.500 0.500 0.000
5 Sb 0.252 0.500 0.246
6 Sb 0.255 0.000 0.756
7 Sb 0.745 0.000 0.244
8 Sb 0.748 0.500 0.754

Output
Formation energy from raw total energies: -109.2 kJ per mole of atoms
Space group: P2/m (10)
Final energy: -45.56 eV/cell
Total magnetization: 0.7 μB per formula unit

CePm2HoSe5 after structural relaxation. Source: Alexandria via LeMat-Bulk, functional PBE.

a = 5.138 Å, b = 5.138 Å, c = 11.033 Å
α = 90.00°, β = 90.00°, γ = 90.00°
Fractional coordinates of all 9 atoms:
1 Ce 0.000 0.000 0.000
2 Pm 0.500 0.500 0.336
3 Pm 0.500 0.500 0.664
4 Ho 0.000 0.000 0.500
5 Se 0.000 0.000 0.252
6 Se 0.000 0.000 0.748
7 Se 0.000 0.500 0.500
8 Se 0.500 0.000 0.500
9 Se 0.500 0.500 0.000

Output
Formation energy from raw total energies: -121.9 kJ per mole of atoms
Space group: P4/mmm (123)
Final energy: -48.81 eV/cell
Total magnetization: 1.3 μB per formula unit

Ce2PmHoSe5 after structural relaxation. Source: Alexandria via LeMat-Bulk, functional PBE.

a = 5.112 Å, b = 5.112 Å, c = 10.934 Å
α = 90.00°, β = 90.00°, γ = 90.00°
Fractional coordinates of all 9 atoms:
1 Ce 0.000 0.000 0.192
2 Ce 0.000 0.000 0.808
3 Pm 0.500 0.500 0.500
4 Ho 0.500 0.500 0.000
5 Se 0.000 0.000 0.500
6 Se 0.000 0.500 0.000
7 Se 0.500 0.000 0.000
8 Se 0.500 0.500 0.251
9 Se 0.500 0.500 0.749

Output
Formation energy from raw total energies: -127.3 kJ per mole of atoms
Space group: P4/mmm (123)
Final energy: -50.49 eV/cell
Total magnetization: 3.4 μB per formula unit

Ce4Pm3HoSe8 after structural relaxation. Source: Alexandria via LeMat-Bulk, functional PBE.

a = 8.388 Å, b = 8.388 Å, c = 8.388 Å
α = 59.67°, β = 59.67°, γ = 59.67°
Fractional coordinates of all 16 atoms:
1 Ce 0.000 0.000 0.000
2 Ce 0.000 0.500 0.500
3 Ce 0.500 0.000 0.500
4 Ce 0.500 0.500 0.000
5 Pm 0.000 0.000 0.500
6 Pm 0.000 0.500 0.000
7 Pm 0.500 0.000 0.000
8 Ho 0.500 0.500 0.500
9 Se 0.250 0.250 0.250
10 Se 0.254 0.745 0.745
11 Se 0.255 0.255 0.746
12 Se 0.255 0.746 0.255
13 Se 0.745 0.254 0.745
14 Se 0.745 0.745 0.254
15 Se 0.746 0.255 0.255
16 Se 0.750 0.750 0.750

Output
Formation energy from raw total energies: -175.6 kJ per mole of atoms
Space group: R-3m (166)
Final energy: -99.56 eV/cell
Total magnetization: 3.9 μB per formula unit